A plane-wave DFT calculation with GGA-PBE was carried out for a relaxed CaTl2Co crystal.

Size of the total moment (μB per atom): 0.32
ΔH_f (0 K) (eV/atom): 0.183

Cell: 4.3573 3.6697 6.2899 Å, 73.91 90.00 90.00°
Last column: nearest neighbours and their distance in Å.
Fractional positions:
Tl: 0.0000 0.6014 0.5338  2 Co 2.70
Ca: 0.5000 0.2500 0.2500  2 Co 3.17, 8 Tl 3.30-3.35
Tl: 0.0000 0.8986 0.9662  2 Co 2.70
Co: 0.5000 0.7500 0.7500  4 Tl 2.70

---

A plane-wave DFT calculation with GGA-PBE was carried out for a relaxed Pr6TmTe8 crystal.

Size of the total moment (μB per atom): 0.00
Formation energy without anion corrections (eV/atom): -1.445

Cell: 9.0171 9.0171 9.0171 Å, 60.00 60.00 60.00°
Last column: nearest neighbours and their distance in Å.
Fractional positions:
Te: 0.7550 0.7550 0.2450  1 Tm 3.12, 4 Pr 3.19
Te: 0.2450 0.2450 0.7550  1 Tm 3.12, 4 Pr 3.19
Pr: 0.0000 0.5000 0.5000  6 Te 3.19
Te: 0.7550 0.2450 0.2450  1 Tm 3.12, 4 Pr 3.19
Pr: 0.0000 0.5000 0.0000  6 Te 3.19
Te: 0.2450 0.7550 0.2450  1 Tm 3.12, 4 Pr 3.19
Te: 0.2500 0.2500 0.2500  6 Pr 3.19
Pr: 0.0000 0.0000 0.5000  6 Te 3.19
Pr: 0.5000 0.0000 0.5000  6 Te 3.19
Pr: 0.5000 0.5000 0.0000  6 Te 3.19
Te: 0.7500 0.7500 0.7500  6 Pr 3.19
Tm: 0.0000 0.0000 0.0000  6 Te 3.12
Te: 0.2450 0.7550 0.7550  1 Tm 3.12, 4 Pr 3.19
Pr: 0.5000 0.0000 0.0000  6 Te 3.19
Te: 0.7550 0.2450 0.7550  1 Tm 3.12, 4 Pr 3.19

---

A plane-wave DFT calculation with GGA-PBE was carried out for a relaxed Bi3HRh4 crystal.

Size of the total moment (μB per atom): 0.00
Calculated total energy (eV/atom): -5.58

Cell: 5.8235 5.8235 5.8235 Å, 97.82 108.88 122.71°
Last column: nearest neighbours and their distance in Å.
Fractional positions:
Bi: 0.5726 0.2541 0.8267  7 Rh 2.74-2.96
Rh: 0.5874 0.2490 0.3384  1 H 1.84
Rh: 0.1730 0.3103 0.4832  1 H 1.81
H: 0.0140 0.5000 0.5140  4 Rh 1.81-1.84
Bi: 0.9691 0.0000 0.9691  4 Rh 2.75-2.86
Bi: 0.5726 0.7459 0.3185  7 Rh 2.74-2.96
Rh: 0.0894 0.7510 0.3384  1 H 1.84
Rh: 0.1730 0.6897 0.8627  1 H 1.81